Record 1
5
Lattice="-2.275 1.750 3.980 -4.265 -1.770 -1.660 0.844 -4.229 2.341" Properties=species:S:1:pos:R:3 comment="SrGeRu3 (PBE-GGA, optimized geometry)" dos_at_fermi_per_ev_fu=7.6 ef_ev_per_atom=2.559 pbc="T T T"
Ru -2.133 -0.885 -0.830
Ru 0.422 -2.115 1.171
Ru -1.138 0.875 1.990
Ge -2.848 -2.125 2.331
Sr 0.000 0.000 0.000


Record 2
5
Lattice="-1.578 3.026 3.317 2.376 -3.379 4.213 4.061 2.462 -0.315" Properties=species:S:1:pos:R:3 comment="SrZnGe2Ru (PBE-GGA, optimized geometry)" dos_at_fermi_per_ev_fu=2.1 ef_ev_per_atom=0.018 pbc="T T T"
Ru 0.000 0.000 0.000
Ge 2.030 1.231 -0.157
Ge -0.789 1.513 1.658
Zn 2.429 1.054 3.608
Sr 1.188 -1.690 2.107


Record 3
5
Lattice="-3.363 2.941 1.990 -2.233 -3.883 1.965 2.656 0.426 3.859" Properties=species:S:1:pos:R:3 comment="SrZn2GeRu (PBE-GGA, optimized geometry)" dos_at_fermi_per_ev_fu=2.0 ef_ev_per_atom=-0.261 pbc="T T T"
Ru 0.000 0.000 0.000
Ge 1.328 0.213 1.929
Zn -1.116 -1.941 0.983
Zn -1.681 1.471 0.995
Sr -1.470 -0.258 3.907